# CaTbTlSn (PBE, relaxed)
# formation enthalpy at 0 K: -1.91 eV/f.u.
data_CaTbTlSn
_cell_length_a 7.662
_cell_length_b 7.662
_cell_length_c 7.662
_cell_angle_alpha 90.00
_cell_angle_beta 90.00
_cell_angle_gamma 90.00
_symmetry_space_group_name_H-M 'F -4 3 m'
_symmetry_Int_Tables_number 216
_symmetry_space_group_name_Hall 'F -4 2 3'
loop_
_atom_site_label
_atom_site_type_symbol
_atom_site_fract_x
_atom_site_fract_y
_atom_site_fract_z
Ca1 Ca 0.000 0.000 0.000
Tb1 Tb 0.000 0.000 0.500
Tl1 Tl 0.250 0.250 0.750
Sn1 Sn 0.250 0.250 0.250